[1]
The following is a SCAN calculation of NaSr3H at its PBEsol-relaxed geometry, from Alexandria.

abc: 6.480 6.480 6.480
angles: 90.00 90.00 90.00
Space group Pm-3m (No. 221)
Inequivalent atoms, fractional coordinates:
Na: 0.000 0.000 0.000
Sr: 0.000 0.000 0.500
H: 0.500 0.500 0.500

Computed properties:
- E above lowest polymorph: 857.8 meV/atom
- Energy: -70.67 eV per cell


[2]
The following is a SCAN calculation of YCu2Au at its PBEsol-relaxed geometry, from Alexandria.

abc: 6.407 6.407 6.407
angles: 90.00 90.00 90.00
Space group Fm-3m (No. 225)
Inequivalent atoms, fractional coordinates:
Y: 0.000 0.000 0.000
Cu: 0.250 0.250 0.250
Au: 0.000 0.000 0.500

Computed properties:
- E above lowest polymorph: 0.0 meV/atom
- Energy of formation: -0.388 eV/atom
- Energy: -515.81 eV per cell


[3]
The following is a SCAN calculation of Sn3Pd at its PBEsol-relaxed geometry, from Alexandria.

abc: 17.075 6.455 6.455
angles: 90.00 90.00 90.00
Space group Cmce (No. 64)
Inequivalent atoms, fractional coordinates:
Sn: 0.000 0.161 0.161
Sn: 0.168 0.169 0.832
Pd: 0.085 0.000 0.500

Computed properties:
- Energy of formation: -0.210 eV/atom
- Energy: -1131.02 eV per cell


[4]
The following is a SCAN calculation of LiCdSb2 at its PBEsol-relaxed geometry, from Alexandria.

abc: 3.935 3.935 6.036
angles: 90.00 90.00 90.00
Space group P4mm (No. 99)
Inequivalent atoms, fractional coordinates:
Li: 0.000 0.000 0.000
Cd: 0.500 0.500 0.744
Sb: 0.000 0.000 0.496
Sb: 0.500 0.500 0.231

Computed properties:
- Energy relative to the elements, uncorrected: -0.07 eV/atom
- Energy: -107.62 eV per cell


[5]
The following is a SCAN calculation of Ta3PbAu at its PBEsol-relaxed geometry, from Alexandria.

abc: 4.919 4.919 4.919
angles: 90.00 90.00 90.00
Space group Pm-3m (No. 221)
Inequivalent atoms, fractional coordinates:
Ta: 0.000 0.000 0.500
Pb: 0.500 0.500 0.500
Au: 0.000 0.000 0.000

Computed properties:
- Energy of formation: 1.500 eV/atom
- Energy: -337.19 eV per cell


[6]
The following is a SCAN calculation of CdRuBr2 at its PBEsol-relaxed geometry, from Alexandria.

abc: 3.273 6.171 9.233
angles: 90.00 90.00 90.00
Space group Imm2 (No. 44)
Inequivalent atoms, fractional coordinates:
Cd: 0.000 0.000 0.000
Ru: 0.000 0.500 0.258
Br: 0.000 0.000 0.567
Br: 0.000 0.500 0.746

Computed properties:
- E above lowest polymorph: 227.0 meV/atom
- Energy relative to the elements, uncorrected: 0.23 eV/atom
- Energy: -206.48 eV per cell


[7]
The following is a SCAN calculation of MnReAs at its PBEsol-relaxed geometry, from Alexandria.

abc: 4.0372 4.0372 2.7575
angles: 90.00 90.00 120.00
Space group P-6m2 (No. 187)
Inequivalent atoms, fractional coordinates:
Mn: 0.0000 0.0000 0.0000
Re: 0.3333 0.6667 0.5000
As: 0.6667 0.3333 0.0000

Computed properties:
- E above lowest polymorph: 230.3 meV/atom
- Energy of formation: 0.265 eV/atom
- Energy: -108.75 eV per cell


[8]
The following is a SCAN calculation of TaZnRe2 at its PBEsol-relaxed geometry, from Alexandria.

abc: 5.462 8.918 2.707
angles: 90.00 114.24 90.00
Space group C2/m (No. 12)
Inequivalent atoms, fractional coordinates:
Ta: 0.000 0.000 0.000
Zn: 0.000 0.500 0.000
Re: 0.250 0.250 0.500

Computed properties:
- Energy of formation: 0.037 eV/atom
- Energy: -444.29 eV per cell


[9]
The following is a SCAN calculation of CuBi3Pd at its PBEsol-relaxed geometry, from Alexandria.

abc: 5.278 5.278 5.278
angles: 90.00 90.00 90.00
Space group Pm-3m (No. 221)
Inequivalent atoms, fractional coordinates:
Cu: 0.000 0.000 0.000
Bi: 0.000 0.500 0.500
Pd: 0.500 0.500 0.500

Computed properties:
- Energy of formation: 0.708 eV/atom
- Energy: -280.17 eV per cell


[10]
The following is a SCAN calculation of TeAsAuSe2 at its PBEsol-relaxed geometry, from Alexandria.

abc: 5.173 5.173 5.301
angles: 90.00 90.00 90.00
Space group P4/mmm (No. 123)
Inequivalent atoms, fractional coordinates:
Te: 0.000 0.000 0.000
As: 0.000 0.000 0.500
Au: 0.500 0.500 0.500
Se: 0.000 0.500 0.000

Computed properties:
- Energy relative to the elements, uncorrected: 1.03 eV/atom
- Energy: -161.58 eV per cell


[11]
The following is a SCAN calculation of TaSiNi at its PBEsol-relaxed geometry, from Alexandria.

abc: 2.839 2.839 9.741
angles: 90.00 90.00 90.00
Space group I4mm (No. 107)
Inequivalent atoms, fractional coordinates:
Ta: 0.000 0.000 0.000
Si: 0.000 0.000 0.689
Ni: 0.000 0.000 0.307

Computed properties:
- Energy relative to the elements, uncorrected: -0.41 eV/atom
- Energy: -188.01 eV per cell


[12]
The following is a SCAN calculation of Bi14Te13S8 at its PBEsol-relaxed geometry, from Alexandria.

abc: 11.1519 11.1519 29.9006
angles: 90.00 90.00 120.00
Space group R-3 (No. 148, hexagonal axes)
Inequivalent atoms, fractional coordinates:
Bi: 0.0000 0.0000 0.1070
Bi: 0.0431 0.8132 0.7765
Bi: 0.0520 0.8032 0.5618
Te: 0.0000 0.0000 0.5000
Te: 0.0512 0.8105 0.3808
Te: 0.0621 0.8198 0.9540
S: 0.0000 0.0000 0.2697
S: 0.0431 0.8056 0.1658

Computed properties:
- Energy relative to the elements, uncorrected: -0.21 eV/atom
- Energy: -5006.66 eV per cell


[13]
The following is a SCAN calculation of ErAg2 at its PBEsol-relaxed geometry, from Alexandria.

abc: 3.636 3.636 9.016
angles: 90.00 90.00 90.00
Space group I4/mmm (No. 139)
Inequivalent atoms, fractional coordinates:
Er: 0.000 0.000 0.000
Ag: 0.000 0.000 0.330

Computed properties:
- Energy of formation: -0.381 eV/atom
- Energy: -228.43 eV per cell


[14]
The following is a SCAN calculation of HgMoAs2 at its PBEsol-relaxed geometry, from Alexandria.

abc: 6.579 6.579 6.579
angles: 90.00 90.00 90.00
Space group F-43m (No. 216)
Inequivalent atoms, fractional coordinates:
Hg: 0.000 0.000 0.000
Mo: 0.250 0.250 0.250
As: 0.000 0.000 0.500
As: 0.250 0.250 0.750

Computed properties:
- Energy of formation: 0.811 eV/atom
- Energy: -560.76 eV per cell


[15]
The following is a SCAN calculation of K2AgHg at its PBEsol-relaxed geometry, from Alexandria.

abc: 4.021 4.021 8.019
angles: 90.00 90.00 90.00
Space group P4/mmm (No. 123)
Inequivalent atoms, fractional coordinates:
K: 0.000 0.000 0.237
Ag: 0.500 0.500 0.000
Hg: 0.500 0.500 0.500

Computed properties:
- Energy of formation: -0.094 eV/atom
- Energy: -116.57 eV per cell


[16]
The following is a SCAN calculation of Ta2MnZnPd at its PBEsol-relaxed geometry, from Alexandria.

abc: 4.427 4.427 4.622
angles: 90.00 90.00 90.00
Space group P4/mmm (No. 123)
Inequivalent atoms, fractional coordinates:
Ta: 0.000 0.500 0.000
Mn: 0.000 0.000 0.000
Zn: 0.500 0.500 0.500
Pd: 0.000 0.000 0.500

Computed properties:
- Energy of formation: 0.888 eV/atom
- Energy: -193.27 eV per cell


[17]
The following is a SCAN calculation of CoRh2 at its PBEsol-relaxed geometry, from Alexandria.

abc: 13.419 2.627 4.495
angles: 90.00 108.66 90.00
Space group C2/m (No. 12)
Inequivalent atoms, fractional coordinates:
Co: 0.081 0.000 0.245
Rh: 0.080 0.500 0.751
Rh: 0.248 0.500 0.252

Computed properties:
- Energy of formation: 0.063 eV/atom
- Energy: -338.63 eV per cell


[18]
The following is a SCAN calculation of Te7O6F30 at its PBEsol-relaxed geometry, from Alexandria.

abc: 8.896 9.140 9.161
angles: 114.98 100.16 99.89
Space group P-1 (No. 2)
Inequivalent atoms, fractional coordinates:
Te: 0.000 0.000 0.000
Te: 0.227 0.758 0.760
Te: 0.243 0.076 0.394
Te: 0.248 0.395 0.084
O: 0.055 0.221 0.015
O: 0.116 0.928 0.835
O: 0.193 0.056 0.172
F: 0.043 0.586 0.685
F: 0.054 0.921 0.349
F: 0.130 0.549 0.141
F: 0.149 0.249 0.474
F: 0.182 0.757 0.554
F: 0.206 0.374 0.869
F: 0.275 0.757 0.965
F: 0.295 0.424 0.302
F: 0.303 0.100 0.609
F: 0.336 0.599 0.680
F: 0.341 0.905 0.322
F: 0.370 0.244 0.027
F: 0.414 0.926 0.829
F: 0.428 0.569 0.149
F: 0.433 0.230 0.441

Computed properties:
- Energy relative to the elements, uncorrected: -1.88 eV/atom
- Energy: -485.20 eV per cell


[19]
The following is a SCAN calculation of NbOsIN2 at its PBEsol-relaxed geometry, from Alexandria.

abc: 3.963 3.963 5.818
angles: 90.00 90.00 90.00
Space group P4/mmm (No. 123)
Inequivalent atoms, fractional coordinates:
Nb: 0.000 0.000 0.000
Os: 0.500 0.500 0.500
I: 0.000 0.000 0.500
N: 0.000 0.500 0.000

Computed properties:
- Energy relative to the elements, uncorrected: 1.38 eV/atom
- Energy: -153.46 eV per cell


[20]
The following is a SCAN calculation of Ca13Y6F43 at its PBEsol-relaxed geometry, from Alexandria.

abc: 16.7792 16.7792 9.5904
angles: 90.00 90.00 120.00
Space group R3 (No. 146, hexagonal axes)
Inequivalent atoms, fractional coordinates:
Ca: 0.0000 0.0000 0.0000
Ca: 0.0333 0.2737 0.3673
Ca: 0.0709 0.5646 0.7010
Ca: 0.0929 0.6982 0.3585
Ca: 0.1730 0.4017 0.7000
Y: 0.0161 0.1428 0.7112
Y: 0.1448 0.1283 0.3550
F: 0.0000 0.0000 0.6159
F: 0.0151 0.1281 0.3030
F: 0.0189 0.1515 0.9531
F: 0.0316 0.2795 0.6277
F: 0.0367 0.2850 0.1225
F: 0.0636 0.5663 0.9411
F: 0.0694 0.5579 0.4519
F: 0.0769 0.8854 0.5370
F: 0.0797 0.6960 0.1055
F: 0.0906 0.7043 0.6152
F: 0.1063 0.0933 0.8102
F: 0.1349 0.1176 0.1167
F: 0.1679 0.3984 0.4557
F: 0.1800 0.3969 0.9450
F: 0.1927 0.0876 0.5452

Computed properties:
- Energy relative to the elements, uncorrected: -4.26 eV/atom
- Energy: -2126.84 eV per cell


[21]
The following is a SCAN calculation of LaP2SCl at its PBEsol-relaxed geometry, from Alexandria.

abc: 4.551 4.551 4.894
angles: 90.00 90.00 90.00
Space group P4/mmm (No. 123)
Inequivalent atoms, fractional coordinates:
La: 0.000 0.000 0.000
P: 0.000 0.500 0.500
S: 0.500 0.500 0.500
Cl: 0.500 0.500 0.000

Computed properties:
- Energy relative to the elements, uncorrected: -0.42 eV/atom
- Energy: -83.63 eV per cell


[22]
The following is a SCAN calculation of Sc2SeBr at its PBEsol-relaxed geometry, from Alexandria.

abc: 6.688 6.688 6.688
angles: 90.00 90.00 90.00
Space group Fm-3m (No. 225)
Inequivalent atoms, fractional coordinates:
Sc: 0.250 0.250 0.250
Se: 0.000 0.000 0.000
Br: 0.000 0.000 0.500

Computed properties:
- E above lowest polymorph: 234.1 meV/atom
- Energy relative to the elements, uncorrected: -1.14 eV/atom
- Energy: -290.34 eV per cell